Entry 1:
Ba2TlV | PBE | optimized geometry

Values from the calculation:
Offset from the most stable computed form in eV per atom: 0.0000
DFT formation energy in eV/atom: 0.34
DFT total energy in eV/atom: -3.49
Total moment in Bohr magnetons per cell: 15.4
Calculated volume in Å³/atom: 37.12

Structure (CIF):
```
data_Ba2TlV
_cell_length_a 8.406
_cell_length_b 8.406
_cell_length_c 8.406
_cell_angle_alpha 90.00
_cell_angle_beta 90.00
_cell_angle_gamma 90.00
_space_group_name_H-M_alt 'F m -3 m'
_space_group_IT_number 225
_space_group_name_Hall '-F 4 2 3'
loop_
_atom_site_label
_atom_site_type_symbol
_atom_site_fract_x
_atom_site_fract_y
_atom_site_fract_z
Ba1 Ba 0.250 0.250 0.250
Tl1 Tl 0.000 0.000 0.000
V1 V 0.000 0.000 0.500
```

***

Entry 2:
BaTl2V | PBE | optimized geometry

Values from the calculation:
DFT formation energy in eV/atom: 0.40
DFT total energy in eV/atom: -3.54
Total moment in Bohr magnetons per cell: 15.0
Calculated volume in Å³/atom: 37.43

Structure (CIF):
```
data_BaTl2V
_cell_length_a 5.575
_cell_length_b 5.575
_cell_length_c 19.267
_cell_angle_alpha 90.00
_cell_angle_beta 90.00
_cell_angle_gamma 90.00
_space_group_name_H-M_alt 'I -4 2 d'
_space_group_IT_number 122
_space_group_name_Hall 'I -4 2bw'
loop_
_atom_site_label
_atom_site_type_symbol
_atom_site_fract_x
_atom_site_fract_y
_atom_site_fract_z
Ba1 Ba 0.000 0.000 0.000
Tl1 Tl 0.098 0.250 0.625
V1 V 0.000 0.000 0.500
```

***

Entry 3:
Ba2TlV | PBE | optimized geometry

Values from the calculation:
Offset from the most stable computed form in eV per atom: 0.2538
DFT formation energy in eV/atom: 0.59
DFT total energy in eV/atom: -3.24
Total moment in Bohr magnetons per cell: 12.7
Calculated volume in Å³/atom: 36.58

Structure (CIF):
```
data_Ba2TlV
_cell_length_a 9.343
_cell_length_b 9.343
_cell_length_c 6.705
_cell_angle_alpha 90.00
_cell_angle_beta 90.00
_cell_angle_gamma 90.00
_space_group_name_H-M_alt 'I -4 2 d'
_space_group_IT_number 122
_space_group_name_Hall 'I -4 2bw'
loop_
_atom_site_label
_atom_site_type_symbol
_atom_site_fract_x
_atom_site_fract_y
_atom_site_fract_z
Ba1 Ba 0.224 0.250 0.125
Tl1 Tl 0.000 0.000 0.500
V1 V 0.000 0.000 0.000
```

***

Entry 4:
BaTlV2 | PBE | optimized geometry

Values from the calculation:
Offset from the most stable computed form in eV per atom: 0.0022
DFT formation energy in eV/atom: 0.87
DFT total energy in eV/atom: -4.76
Total moment in Bohr magnetons per cell: 28.7
Calculated volume in Å³/atom: 25.01

Structure (CIF):
```
data_BaTlV2
_cell_length_a 7.369
_cell_length_b 7.369
_cell_length_c 7.369
_cell_angle_alpha 90.00
_cell_angle_beta 90.00
_cell_angle_gamma 90.00
_space_group_name_H-M_alt 'F m -3 m'
_space_group_IT_number 225
_space_group_name_Hall '-F 4 2 3'
loop_
_atom_site_label
_atom_site_type_symbol
_atom_site_fract_x
_atom_site_fract_y
_atom_site_fract_z
Ba1 Ba 0.000 0.000 0.000
Tl1 Tl 0.000 0.000 0.500
V1 V 0.250 0.250 0.250
```